(1)
A PBEsol-optimized structure of Li2Pt, computed with SCAN.

**ρ**: 8777 kg/m3
**Energy of formation from the pure elements**: -0.64 eV/atom
**M_tot**: 0.00 μB/f.u.
**Raw total energy**: -25.631 eV per atom
**Space-group type**: P6/mmm (191)
**DOS at the Fermi energy**: 0.3551 states/eV per atom
**E above lowest polymorph**: 0 meV per atom

abc: 4.1675 4.1675 2.6283
angles: 90.00 90.00 120.00
Atoms (fractional coordinates):
Li (0.3333, 0.6667, 0.0000)
Li (0.6667, 0.3333, 0.0000)
Pt (0.0000, 0.0000, 0.5000)

=====

(2)
A PBEsol-optimized structure of Li2Pt, computed with SCAN.

**ρ**: 8590 kg/m3
**Energy of formation from the pure elements**: -0.63 eV/atom
**M_tot**: 0.00 μB/f.u.
**Raw total energy**: -25.619 eV per atom
**Space-group type**: Immm (71)
**DOS at the Fermi energy**: 0.1951 states/eV per atom
**E above lowest polymorph**: 12 meV per atom

abc: 2.6606 3.9210 7.7441
angles: 90.00 90.00 90.00
Atoms (fractional coordinates):
Li (0.0000, 0.0000, 0.1599)
Li (0.0000, 0.0000, 0.8401)
Li (0.5000, 0.5000, 0.3401)
Li (0.5000, 0.5000, 0.6599)
Pt (0.0000, 0.0000, 0.5000)
Pt (0.5000, 0.5000, 0.0000)

=====

(3)
A PBEsol-optimized structure of LiPt2, computed with SCAN.

**ρ**: 15710 kg/m3
**Energy of formation from the pure elements**: -0.50 eV/atom
**M_tot**: 0.00 μB/f.u.
**Raw total energy**: -48.090 eV per atom
**Space-group type**: Pnma (62)
**DOS at the Fermi energy**: 0.5760 states/eV per atom
**E above lowest polymorph**: 24 meV per atom

abc: 5.3681 3.8579 8.1071
angles: 90.00 90.00 90.00
Atoms (fractional coordinates):
Li (0.1097, 0.2500, 0.0830)
Li (0.3903, 0.7500, 0.5830)
Li (0.6097, 0.2500, 0.4170)
Li (0.8903, 0.7500, 0.9170)
Pt (0.1104, 0.2500, 0.4102)
Pt (0.1541, 0.2500, 0.7457)
Pt (0.3459, 0.7500, 0.2457)
Pt (0.3896, 0.7500, 0.9102)
Pt (0.6104, 0.2500, 0.0898)
Pt (0.6541, 0.2500, 0.7543)
Pt (0.8459, 0.7500, 0.2543)
Pt (0.8896, 0.7500, 0.5898)

=====

(4)
A PBEsol-optimized structure of LiPt, computed with SCAN.

**ρ**: 11247 kg/m3
**Energy of formation from the pure elements**: -0.56 eV/atom
**M_tot**: 0.00 μB/f.u.
**Raw total energy**: -36.851 eV per atom
**Space-group type**: R-3m (166)
**DOS at the Fermi energy**: 0.6784 states/eV per atom

abc: 4.3236 4.3236 11.0549
angles: 90.00 90.00 120.00
Atoms (fractional coordinates):
Li (0.0000, 0.0000, 0.1172)
Li (0.0000, 0.0000, 0.8828)
Li (0.3333, 0.6667, 0.5495)
Li (0.3333, 0.6667, 0.7838)
Li (0.6667, 0.3333, 0.2162)
Li (0.6667, 0.3333, 0.4505)
Pt (0.0000, 0.0000, 0.3440)
Pt (0.0000, 0.0000, 0.6560)
Pt (0.3333, 0.6667, 0.0106)
Pt (0.3333, 0.6667, 0.3227)
Pt (0.6667, 0.3333, 0.6773)
Pt (0.6667, 0.3333, 0.9894)

=====

Repeat the fourth record exactly.
A PBEsol-optimized structure of LiPt, computed with SCAN.

**ρ**: 11247 kg/m3
**Energy of formation from the pure elements**: -0.56 eV/atom
**M_tot**: 0.00 μB/f.u.
**Raw total energy**: -36.851 eV per atom
**Space-group type**: R-3m (166)
**DOS at the Fermi energy**: 0.6784 states/eV per atom

abc: 4.3236 4.3236 11.0549
angles: 90.00 90.00 120.00
Atoms (fractional coordinates):
Li (0.0000, 0.0000, 0.1172)
Li (0.0000, 0.0000, 0.8828)
Li (0.3333, 0.6667, 0.5495)
Li (0.3333, 0.6667, 0.7838)
Li (0.6667, 0.3333, 0.2162)
Li (0.6667, 0.3333, 0.4505)
Pt (0.0000, 0.0000, 0.3440)
Pt (0.0000, 0.0000, 0.6560)
Pt (0.3333, 0.6667, 0.0106)
Pt (0.3333, 0.6667, 0.3227)
Pt (0.6667, 0.3333, 0.6773)
Pt (0.6667, 0.3333, 0.9894)

=====

Please write out number 3 again, unchanged.
A PBEsol-optimized structure of LiPt2, computed with SCAN.

**ρ**: 15710 kg/m3
**Energy of formation from the pure elements**: -0.50 eV/atom
**M_tot**: 0.00 μB/f.u.
**Raw total energy**: -48.090 eV per atom
**Space-group type**: Pnma (62)
**DOS at the Fermi energy**: 0.5760 states/eV per atom
**E above lowest polymorph**: 24 meV per atom

abc: 5.3681 3.8579 8.1071
angles: 90.00 90.00 90.00
Atoms (fractional coordinates):
Li (0.1097, 0.2500, 0.0830)
Li (0.3903, 0.7500, 0.5830)
Li (0.6097, 0.2500, 0.4170)
Li (0.8903, 0.7500, 0.9170)
Pt (0.1104, 0.2500, 0.4102)
Pt (0.1541, 0.2500, 0.7457)
Pt (0.3459, 0.7500, 0.2457)
Pt (0.3896, 0.7500, 0.9102)
Pt (0.6104, 0.2500, 0.0898)
Pt (0.6541, 0.2500, 0.7543)
Pt (0.8459, 0.7500, 0.2543)
Pt (0.8896, 0.7500, 0.5898)

=====

Number 4 is which compound? LiPt

=====

Copy entry 4 word for word.
A PBEsol-optimized structure of LiPt, computed with SCAN.

**ρ**: 11247 kg/m3
**Energy of formation from the pure elements**: -0.56 eV/atom
**M_tot**: 0.00 μB/f.u.
**Raw total energy**: -36.851 eV per atom
**Space-group type**: R-3m (166)
**DOS at the Fermi energy**: 0.6784 states/eV per atom

abc: 4.3236 4.3236 11.0549
angles: 90.00 90.00 120.00
Atoms (fractional coordinates):
Li (0.0000, 0.0000, 0.1172)
Li (0.0000, 0.0000, 0.8828)
Li (0.3333, 0.6667, 0.5495)
Li (0.3333, 0.6667, 0.7838)
Li (0.6667, 0.3333, 0.2162)
Li (0.6667, 0.3333, 0.4505)
Pt (0.0000, 0.0000, 0.3440)
Pt (0.0000, 0.0000, 0.6560)
Pt (0.3333, 0.6667, 0.0106)
Pt (0.3333, 0.6667, 0.3227)
Pt (0.6667, 0.3333, 0.6773)
Pt (0.6667, 0.3333, 0.9894)